Record 1
! Ca2GaHg | Alexandria | PBE-GGA | relaxed; values from VASP
! E_tot (eV per atom): -1.60
! DOS(E_F) (states/eV/cell): 3.564
! Space-group type: Immm (71)
! Mass density (g cm⁻³): 4.1
! V (Å³ per atom): 35.5
! Formation energy from the elements (meV per atom): 234
&SYSTEM
  ibrav = 0, nat = 4, ntyp = 3
/
ATOMIC_SPECIES
Ga 69.72 Ga.upf
Hg 200.59 Hg.upf
Ca 40.08 Ca.upf
ATOMIC_POSITIONS crystal
Ga 0.000 0.000 0.000
Hg 0.000 0.500 0.500
Ca 0.000 0.251 0.251
Ca 0.000 0.749 0.749
CELL_PARAMETERS angstrom
-2.542 3.947 -5.395
-0.792 1.121 7.019
5.343 -1.787 4.405

---

Record 2
! TlCd2Cu | Alexandria | PBE-GGA | relaxed; values from VASP
! E_tot (eV per atom): -1.86
! DOS(E_F) (states/eV/cell): 1.069
! Space-group type: C2/m (12)
! Mass density (g cm⁻³): 9.3
! V (Å³ per atom): 22.1
! Offset from the most stable computed form (meV/atom): 129
! Formation energy from the elements (meV per atom): 216
&SYSTEM
  ibrav = 0, nat = 4, ntyp = 3
/
ATOMIC_SPECIES
Cd 112.41 Cd.upf
Tl 204.38 Tl.upf
Cu 63.55 Cu.upf
ATOMIC_POSITIONS crystal
Cd 0.500 0.500 0.000
Cd 0.000 0.000 0.000
Tl 0.000 0.500 0.500
Cu 0.500 0.000 0.500
CELL_PARAMETERS angstrom
6.305 -0.046 0.375
-3.305 5.370 0.375
0.770 1.366 2.815

---

Record 3
! Tl16Pb12Au | Alexandria | PBE-GGA | relaxed; values from VASP
! E_tot (eV per atom): -2.94
! DOS(E_F) (states/eV/cell): 11.770
! Space-group type: Cm (8)
! Mass density (g cm⁻³): 10.8
! V (Å³ per atom): 31.4
! Formation energy from the elements (meV per atom): 11
&SYSTEM
  ibrav = 0, nat = 29, ntyp = 3
/
ATOMIC_SPECIES
Tl 204.38 Tl.upf
Pb 207.20 Pb.upf
Au 196.97 Au.upf
ATOMIC_POSITIONS crystal
Tl 0.002 0.002 0.002
Tl 0.994 0.655 0.992
Tl 0.725 0.299 0.308
Tl 0.415 0.005 0.692
Tl 0.364 0.364 0.358
Tl 0.997 0.675 0.403
Tl 0.005 0.415 0.692
Tl 0.593 0.282 0.597
Tl 0.299 0.725 0.308
Tl 0.655 0.994 0.992
Tl 0.701 0.407 0.004
Tl 0.003 0.003 0.647
Tl 0.407 0.701 0.004
Tl 0.282 0.593 0.597
Tl 0.321 0.321 0.726
Tl 0.675 0.997 0.403
Pb 0.393 0.213 0.015
Pb 0.010 0.367 0.194
Pb 0.177 0.993 0.376
Pb 0.781 0.781 0.198
Pb 0.180 0.817 0.805
Pb 0.993 0.177 0.376
Pb 0.802 0.617 0.598
Pb 0.617 0.802 0.598
Pb 0.367 0.010 0.194
Pb 0.213 0.393 0.015
Pb 0.817 0.180 0.805
Pb 0.634 0.634 0.819
Au 0.578 0.578 0.282
CELL_PARAMETERS angstrom
10.110 -0.147 -3.534
-5.120 8.719 -3.534
-0.047 -0.081 10.495

---

Record 4
! SrNiAu2Br | Alexandria | PBE-GGA | relaxed; values from VASP
! E_tot (eV per atom): -2.14
! DOS(E_F) (states/eV/cell): 6.658
! Space-group type: P4/mmm (123)
! Mass density (g cm⁻³): 5.8
! V (Å³ per atom): 35.5
&SYSTEM
  ibrav = 0, nat = 5, ntyp = 4
/
ATOMIC_SPECIES
Ni 58.69 Ni.upf
Au 196.97 Au.upf
Br 79.90 Br.upf
Sr 87.62 Sr.upf
ATOMIC_POSITIONS crystal
Ni 0.000 0.500 0.000
Au 0.500 0.000 0.000
Au 0.000 0.000 0.500
Br 0.500 0.500 0.500
Sr 0.000 0.000 0.000
CELL_PARAMETERS angstrom
-5.150 -1.790 -1.685
2.338 -3.870 -3.036
-0.199 -3.595 4.428

---

Record 5
! BeTeAs3 | Alexandria | PBE-GGA | relaxed; values from VASP
! E_tot (eV per atom): -2.65
! DOS(E_F) (states/eV/cell): 6.129
! Space-group type: Pm-3m (221)
! Mass density (g cm⁻³): 4.0
! V (Å³ per atom): 29.8
! Offset from the most stable computed form (meV/atom): 1031
&SYSTEM
  ibrav = 0, nat = 5, ntyp = 3
/
ATOMIC_SPECIES
As 74.92 As.upf
Be 9.01 Be.upf
Te 127.60 Te.upf
ATOMIC_POSITIONS crystal
As 0.000 0.000 0.500
As 0.000 0.500 0.000
As 0.500 0.000 0.000
Be 0.500 0.500 0.500
Te 0.000 0.000 0.000
CELL_PARAMETERS angstrom
-2.902 -0.979 4.328
-3.459 -2.739 -2.939
2.779 -4.433 0.861

---

Record 6
! Na5B7C3 | Alexandria | PBE-GGA | relaxed; values from VASP
! E_tot (eV per atom): -5.27
! DOS(E_F) (states/eV/cell): 9.985
! Space-group type: Cmcm (63)
! Mass density (g cm⁻³): 2.4
! V (Å³ per atom): 10.4
! Offset from the most stable computed form (meV/atom): 14
! Formation energy from the elements (meV per atom): 127
&SYSTEM
  ibrav = 0, nat = 30, ntyp = 3
/
ATOMIC_SPECIES
C 12.01 C.upf
B 10.81 B.upf
Na 22.99 Na.upf
ATOMIC_POSITIONS crystal
C 0.664 0.336 0.750
C 0.336 0.664 0.250
C 0.133 0.867 0.250
C 0.867 0.133 0.750
C 0.931 0.069 0.250
C 0.069 0.931 0.750
B 0.664 0.336 0.250
B 0.070 0.930 0.250
B 0.469 0.531 0.750
B 0.531 0.469 0.250
B 0.461 0.539 0.250
B 0.273 0.727 0.250
B 0.733 0.267 0.250
B 0.267 0.733 0.750
B 0.867 0.133 0.250
B 0.727 0.273 0.750
B 0.930 0.070 0.750
B 0.336 0.664 0.750
B 0.133 0.867 0.750
B 0.539 0.461 0.750
Na 0.000 0.000 0.000
Na 0.800 0.200 0.998
Na 0.600 0.400 0.001
Na 0.800 0.200 0.502
Na 0.200 0.800 0.002
Na 0.200 0.800 0.498
Na 0.600 0.400 0.499
Na 0.400 0.600 0.501
Na 0.000 0.000 0.500
Na 0.400 0.600 0.999
CELL_PARAMETERS angstrom
-1.770 2.361 -12.548
-0.694 -3.760 12.310
-4.248 7.152 1.945

---

Record 7
! NaPbO2F | Alexandria | PBE-GGA | relaxed; values from VASP
! E_tot (eV per atom): -4.66
! DOS(E_F) (states/eV/cell): 1.584
! Space-group type: P4/mmm (123)
! Mass density (g cm⁻³): 5.7
! V (Å³ per atom): 16.4
&SYSTEM
  ibrav = 0, nat = 5, ntyp = 4
/
ATOMIC_SPECIES
Pb 207.20 Pb.upf
F 19.00 F.upf
O 16.00 O.upf
Na 22.99 Na.upf
ATOMIC_POSITIONS crystal
Pb 0.000 0.000 0.000
F 0.000 0.000 0.500
O 0.000 0.500 0.000
O 0.500 0.000 0.000
Na 0.500 0.500 0.500
CELL_PARAMETERS angstrom
4.252 0.000 0.000
0.000 4.252 0.000
0.000 0.000 4.525

---

Record 8
! Pr2ErTh3Sb6 | Alexandria | PBE-GGA | relaxed; values from VASP
! E_tot (eV per atom): -6.13
! DOS(E_F) (states/eV/cell): 6.249
! Space-group type: C2/m (12)
! Mass density (g cm⁻³): 8.1
! V (Å³ per atom): 32.2
&SYSTEM
  ibrav = 0, nat = 12, ntyp = 4
/
ATOMIC_SPECIES
Sb 121.76 Sb.upf
Er 167.26 Er.upf
Th 232.04 Th.upf
Pr 140.91 Pr.upf
ATOMIC_POSITIONS crystal
Sb 0.334 0.415 0.668
Sb 0.002 0.758 0.004
Sb 0.663 0.079 0.326
Sb 0.666 0.585 0.332
Sb 0.337 0.921 0.674
Sb 0.998 0.242 0.996
Er 0.500 0.000 0.000
Th 0.500 0.500 0.000
Th 0.831 0.166 0.663
Th 0.169 0.834 0.337
Pr 0.834 0.667 0.667
Pr 0.166 0.333 0.333
CELL_PARAMETERS angstrom
4.503 0.000 0.000
0.000 8.977 0.325
-2.251 -2.577 9.461

---

Record 9
! EuThPdRu | Alexandria | PBE-GGA | relaxed; values from VASP
! E_tot (eV per atom): -8.44
! DOS(E_F) (states/eV/cell): 10.624
! Space-group type: F-43m (216)
! Mass density (g cm⁻³): 10.9
! V (Å³ per atom): 22.5
! Formation energy from the elements (meV per atom): -395
&SYSTEM
  ibrav = 0, nat = 4, ntyp = 4
/
ATOMIC_SPECIES
Eu 151.96 Eu.upf
Ru 101.07 Ru.upf
Pd 106.42 Pd.upf
Th 232.04 Th.upf
ATOMIC_POSITIONS crystal
Eu 0.500 0.500 0.500
Ru 0.750 0.750 0.750
Pd 0.250 0.250 0.250
Th 0.000 0.000 0.000
CELL_PARAMETERS angstrom
-0.392 -1.838 4.665
1.500 -4.699 0.986
4.138 -0.795 2.746

---

Record 10
! Dy5Sc3As8 | Alexandria | PBE-GGA | relaxed; values from VASP
! E_tot (eV per atom): -6.41
! DOS(E_F) (states/eV/cell): 2.495
! Space-group type: R-3m (166)
! Mass density (g cm⁻³): 6.9
! V (Å³ per atom): 23.2
! Formation energy from the elements (meV per atom): -1460
&SYSTEM
  ibrav = 0, nat = 16, ntyp = 3
/
ATOMIC_SPECIES
As 74.92 As.upf
Dy 162.50 Dy.upf
Sc 44.96 Sc.upf
ATOMIC_POSITIONS crystal
As 0.240 0.750 0.260
As 0.250 0.760 0.740
As 0.750 0.750 0.260
As 0.760 0.250 0.740
As 0.750 0.240 0.260
As 0.250 0.250 0.740
As 0.245 0.245 0.265
As 0.755 0.755 0.735
Dy 0.500 0.500 0.500
Dy 0.000 0.000 0.000
Dy 0.500 0.500 0.000
Dy 0.500 0.000 0.000
Dy 0.000 0.500 0.000
Sc 0.500 0.000 0.500
Sc 0.000 0.000 0.500
Sc 0.000 0.500 0.500
CELL_PARAMETERS angstrom
7.001 0.000 4.010
2.352 6.594 4.010
0.032 0.022 8.061